(1)
DFT (PBE) results for an optimized crystal structure of PmSm6In2.

Structure (POSCAR):
```
PmSm6In2
1.0
-1.391 2.190 -2.268
-9.670 -1.665 1.701
-5.523 5.565 6.139
In Sm Pm
2 6 1
direct
0.153 0.347 0.347 In
0.847 0.653 0.653 In
0.671 0.018 0.641 Sm
0.329 0.359 0.982 Sm
0.671 0.641 0.018 Sm
0.329 0.982 0.359 Sm
0.500 0.337 0.663 Sm
0.500 0.663 0.337 Sm
0.000 0.000 0.000 Pm
```

Computed properties:
- E above lowest polymorph (kJ per mole of atoms) = 13.48
- theoretical density (g/cm³) = 7.58
- size of the total moment (μB/cell) = 0.0
- energy of formation (eV/atom) = -0.06

---

(2)
DFT (PBE) results for an optimized crystal structure of Mo3AsRu.

Structure (POSCAR):
```
Mo3AsRu
1.0
-3.429 2.891 0.671
-0.052 -1.083 4.404
2.968 3.322 0.852
As Mo Ru
1 3 1
direct
0.000 0.000 0.000 As
0.500 0.000 0.000 Mo
0.000 0.000 0.500 Mo
0.000 0.500 0.000 Mo
0.500 0.500 0.500 Ru
```

Computed properties:
- E above lowest polymorph (kJ per mole of atoms) = 0.00
- theoretical density (g/cm³) = 8.26
- size of the total moment (μB/cell) = 0.0
- energy of formation (eV/atom) = 1.39

---

(3)
DFT (PBE) results for an optimized crystal structure of LiPtSeI.

Structure (POSCAR):
```
LiPtSeI
1.0
4.008 0.000 0.000
-2.004 3.471 0.000
0.000 0.000 21.082
Pt Se Li I
3 3 3 3
direct
0.000 0.000 0.425 Pt
0.333 0.667 0.092 Pt
0.667 0.333 0.759 Pt
0.667 0.333 0.133 Se
0.000 0.000 0.800 Se
0.333 0.667 0.467 Se
0.333 0.667 0.223 Li
0.667 0.333 0.890 Li
0.000 0.000 0.557 Li
0.333 0.667 0.959 I
0.000 0.000 0.293 I
0.667 0.333 0.626 I
```

Computed properties:
- E above lowest polymorph (kJ per mole of atoms) = 10.58
- theoretical density (g/cm³) = 6.93
- size of the total moment (μB/cell) = 0.0
- formation energy without anion corrections (eV per atom) = -0.467

---

(4)
DFT (PBE) results for an optimized crystal structure of Mg2InGaHg8.

Structure (POSCAR):
```
Mg2InGaHg8
1.0
6.630 0.000 0.000
-3.315 5.742 0.000
0.000 0.000 8.129
Hg Mg Ga In
8 2 1 1
direct
0.820 0.180 0.766 Hg
0.180 0.360 0.234 Hg
0.180 0.820 0.234 Hg
0.820 0.640 0.766 Hg
0.333 0.667 0.578 Hg
0.360 0.180 0.766 Hg
0.640 0.820 0.234 Hg
0.667 0.333 0.422 Hg
0.333 0.667 0.926 Mg
0.667 0.333 0.074 Mg
0.000 0.000 0.000 Ga
0.000 0.000 0.500 In
```

Computed properties:
- theoretical density (g/cm³) = 9.86
- size of the total moment (μB/cell) = 0.0
- energy of formation (eV/atom) = 0.03

---

(5)
DFT (PBE) results for an optimized crystal structure of La7Tl2Co2.

Structure (POSCAR):
```
La7Tl2Co2
1.0
-0.471 -6.181 -3.528
-2.256 -3.298 6.080
-6.197 3.511 -0.394
La Co Tl
7 2 2
direct
0.000 0.758 0.500 La
0.000 0.242 0.500 La
0.500 0.218 0.500 La
0.500 0.758 0.000 La
0.500 0.782 0.500 La
0.500 0.242 0.000 La
0.000 0.000 0.000 La
0.282 0.000 0.718 Co
0.718 0.000 0.282 Co
0.820 0.500 0.820 Tl
0.180 0.500 0.180 Tl
```

Computed properties:
- theoretical density (g/cm³) = 7.16
- size of the total moment (μB/cell) = 0.0
- energy of formation (eV/atom) = -0.17

---

(6)
DFT (PBE) results for an optimized crystal structure of Pr2Sn4Pt3Rh.

Structure (POSCAR):
```
Pr2Sn4Pt3Rh
1.0
4.560 0.000 0.000
0.000 4.560 0.000
0.000 0.000 10.864
Pr Pt Rh Sn
2 3 1 4
direct
0.500 0.000 0.257 Pr
0.000 0.500 0.743 Pr
0.500 0.000 0.867 Pt
0.000 0.500 0.133 Pt
0.000 0.000 0.500 Pt
0.500 0.500 0.500 Rh
0.500 0.500 0.000 Sn
0.500 0.000 0.627 Sn
0.000 0.000 0.000 Sn
0.000 0.500 0.373 Sn
```

Computed properties:
- theoretical density (g/cm³) = 10.62
- size of the total moment (μB/cell) = 0.0
- energy of formation (eV/atom) = -0.82